# 1
This record from Alexandria via LeMat-Bulk describes crystalline Sm2ErBi2 at its relaxed geometry. The functional is PBE-GGA.

Cell lengths 8.6411, 12.0880, 6.4351 Å; angles 90.00, 90.00, 90.00 degrees
Space group Ibam (No. 72)
Symmetry-distinct sites (fractional):
Sm  0.1469  0.1527  0.0000
Er  0.0000  0.5000  0.2500
Bi  0.2171  0.1077  0.5000

## Properties
E_tot   -4.942 eV/atom
Total magnetic moment   0.0 μB/f.u.
DFT formation energy   -0.590 eV/atom
Volume   33.609 Å³ per atom
Fermi-level density of states   16.07 states/eV/cell

---

# 2
This record from Alexandria via LeMat-Bulk describes crystalline Sm3Er2Bi2 at its relaxed geometry. The functional is PBE-GGA.

Cell lengths 16.9684, 4.0328, 7.3307 Å; angles 90.00, 112.75, 90.00 degrees
Space group C2/m (No. 12)
Symmetry-distinct sites (fractional):
Sm  0.0000  0.0000  0.0000
Sm  0.2219  0.0000  0.1959
Er  0.0932  0.0000  0.6809
Bi  0.1007  0.5000  0.3615

## Properties
E_tot   -4.706 eV/atom
Total magnetic moment   0.0 μB/f.u.
DFT formation energy   -0.271 eV/atom
Volume   33.043 Å³ per atom
Fermi-level density of states   14.45 states/eV/cell

---

# 3
This record from Alexandria via LeMat-Bulk describes crystalline Sm2Er2Bi3 at its relaxed geometry. The functional is PBE-GGA.

Cell lengths 14.2819, 4.5203, 7.4762 Å; angles 90.00, 99.09, 90.00 degrees
Space group C2/m (No. 12)
Symmetry-distinct sites (fractional):
Sm  0.1229  0.0000  0.3522
Er  0.1166  0.5000  0.8870
Bi  0.0000  0.5000  0.5000
Bi  0.2373  0.0000  0.7556

## Properties
E_tot   -4.910 eV/atom
Total magnetic moment   0.0 μB/f.u.
DFT formation energy   -0.594 eV/atom
Volume   34.042 Å³ per atom
Fermi-level density of states   5.84 states/eV/cell